No. 1
# Ce2Zn5Co4

Crystalline Ce2Zn5Co4 at its relaxed geometry (GGA-PBE, Alexandria via LeMat-Bulk).

Unit cell a=5.5835 b=6.6008 c=6.4916 alpha=60.04 beta=64.53 gamma=64.98
Closest atoms and distances in Å follow each position.
Positions (direct):
Zn 0.7823 0.7662 0.1452  4 Co 2.45-2.58, 3 Zn 2.54-2.66
Zn 0.6937 0.2338 0.8548  4 Co 2.45-2.58, 3 Zn 2.54-2.66
Zn 0.0000 0.5000 0.5000  4 Zn 2.54, 2 Co 2.68
Zn 0.2177 0.2338 0.8548  4 Co 2.45-2.58, 3 Zn 2.54-2.66
Zn 0.3063 0.7662 0.1452  4 Co 2.45-2.58, 3 Zn 2.54-2.66
Co 0.2330 0.4860 0.0480  1 Ce 2.32, 1 Co 2.40, 4 Zn 2.45-2.58
Co 0.7670 0.5140 0.9520  1 Ce 2.32, 1 Co 2.40, 4 Zn 2.45-2.58
Co 0.3422 0.0528 0.2628  1 Ce 2.22, 1 Co 2.40, 2 Zn 2.47
Co 0.6578 0.9472 0.7372  1 Ce 2.22, 1 Co 2.40, 2 Zn 2.47
Ce 0.2775 0.7914 0.6536  2 Co 2.22-2.32
Ce 0.7225 0.2086 0.3464  2 Co 2.22-2.32

Computed properties:
- V: 16.4 Å³/atom
- Energy of formation: -0.18 eV/atom


No. 2
# Ba2Sn2I

Crystalline Ba2Sn2I at its relaxed geometry (GGA-PBE, Alexandria via LeMat-Bulk).

Unit cell a=4.9494 b=4.9494 c=9.8911 alpha=89.82 beta=105.98 gamma=117.15
Closest atoms and distances in Å follow each position.
Positions (direct):
Ba 0.1666 0.5853 0.7519  4 Sn 3.47-3.87, 3 I 3.69-3.74
Ba 0.8334 0.4147 0.2481  4 Sn 3.47-3.87, 3 I 3.69-3.74
Sn 0.6419 0.8173 0.4592  3 Sn 2.97-3.01
Sn 0.3581 0.1827 0.5408  3 Sn 2.97-3.01
I 0.0000 0.0000 0.0000  6 Ba 3.69-3.74

Computed properties:
- Raw total energy: -3.64 eV per atom
- V: 41.0 Å³/atom